The following is a PBE-GGA calculation of a relaxed structure of SiMo2Ru, from Alexandria.

The structure in extended XYZ format:
```
4
Lattice="-3.3035 1.8389 1.9855 -1.5761 -0.3627 -2.2864 -1.7943 -4.4533 1.1391" Properties=species:S:1:pos:R:3 pbc="T T T"
Mo -1.8193 -4.3896 1.0385
Mo -2.4883 -0.3217 0.7503
Ru -1.8764 -2.4608 -0.8428
Si -3.9693 -2.6663 0.4577
```

Results
Formation energy without anion corrections, kJ per mole of atoms: -14.8

The following is a PBE-GGA calculation of a relaxed structure of SiMo2Ru, from Alexandria.

The structure in extended XYZ format:
```
4
Lattice="-1.3539 7.7455 3.7404 -2.9386 8.0715 1.4257 -4.0096 6.7857 3.7006" Properties=species:S:1:pos:R:3 pbc="T T T"
Mo -0.0413 0.1124 0.0441
Mo -2.0425 5.5607 2.1814
Ru -4.1098 11.1891 4.3893
Si -6.2595 17.0418 6.6853
```

Results
Formation energy without anion corrections, kJ per mole of atoms: 4.2

The following is a PBE-GGA calculation of a relaxed structure of SiMo2Ru, from Alexandria.

The structure in extended XYZ format:
```
4
Lattice="-0.1462 -1.2521 -2.5533 -1.8738 -1.8808 1.0295 -5.3430 4.3287 -1.8169" Properties=species:S:1:pos:R:3 pbc="T T T"
Mo -5.2884 4.2845 -1.7983
Mo -2.7262 2.2086 -0.9270
Ru -2.3458 -0.4843 -1.2161
Si -5.0173 1.6801 -2.1245
```

Results
Formation energy without anion corrections, kJ per mole of atoms: -12.0

The following is a PBE-GGA calculation of a relaxed structure of Si2MoRu, from Alexandria.

The structure in extended XYZ format:
```
4
Lattice="-1.6972 -1.8171 2.9058 -1.4552 -1.6092 -1.8562 3.8385 -3.5196 0.0411" Properties=species:S:1:pos:R:3 pbc="T T T"
Mo -0.2528 -2.1907 0.9991
Ru 0.9389 -4.7551 0.0916
Si -1.0512 -1.2447 -1.3924
Si 0.7877 -2.9288 -1.3714
```

Results
Formation energy without anion corrections, kJ per mole of atoms: -25.4

The following is a PBE-GGA calculation of a relaxed structure of Si2MoRu, from Alexandria.

The structure in extended XYZ format:
```
4
Lattice="2.9053 0.6218 0.0000 -0.6233 2.9050 0.0000 0.0000 0.0000 6.0607" Properties=species:S:1:pos:R:3 pbc="T T T"
Mo 1.1410 1.7634 1.5152
Ru 1.1410 1.7634 4.5455
Si 0.0000 0.0000 6.0088
Si 0.0000 0.0000 3.0822
```

Results
Formation energy without anion corrections, kJ per mole of atoms: -35.3

The following is a PBE-GGA calculation of a relaxed structure of SiMoRu3, from Alexandria.

The structure in extended XYZ format:
```
5
Lattice="4.3120 0.0000 0.0000 0.0000 4.3120 0.0000 0.0000 0.0000 4.3120" Properties=species:S:1:pos:R:3 pbc="T T T"
Ru 0.0000 2.1560 0.0000
Ru 0.0000 0.0000 2.1560
Ru 2.1560 0.0000 0.0000
Mo 2.1560 2.1560 2.1560
Si 0.0000 0.0000 0.0000
```

Results
Distance to the lowest polymorph of the same formula, meV per atom: 0.0
Formation energy without anion corrections, kJ per mole of atoms: 76.4

The following is a PBE-GGA calculation of a relaxed structure of Si2MoRu, from Alexandria.

The structure in extended XYZ format:
```
8
Lattice="6.4661 0.0000 0.0000 0.0000 6.4661 0.0000 3.2331 3.2331 2.9291" Properties=species:S:1:pos:R:3 pbc="T T T"
Ru 0.0000 0.0000 0.0000
Ru 6.4661 3.2331 1.4645
Mo 3.2331 3.2331 0.0000
Mo 3.2331 6.4661 1.4645
Si 4.9750 1.6165 0.7323
Si 1.4911 4.8496 0.7323
Si 4.8496 4.7242 2.1968
Si 8.0827 8.2081 2.1968
```

Results
Formation energy without anion corrections, kJ per mole of atoms: 22.1

The following is a PBE-GGA calculation of a relaxed structure of Si2MoRu, from Alexandria.

The structure in extended XYZ format:
```
4
Lattice="-1.0179 -2.5293 0.4394 2.5669 -0.9967 0.2094 -0.0928 1.3556 7.5881" Properties=species:S:1:pos:R:3 pbc="T T T"
Mo -0.0476 0.6948 3.8896
Ru 0.7044 -0.7378 6.0630
Si -0.0896 1.3081 7.3225
Si 0.7498 -1.4022 2.3441
```

Results
Formation energy without anion corrections, kJ per mole of atoms: 3.0

no.,raw total energy (eV/atom)
1,-9.244
2,-9.046
3,-9.215
4,-8.001
5,-8.104
6,-8.024
7,-7.509
8,-7.707